{"formula": "TlCoMo2", "functional": "PBE", "state": "optimized geometry", "e_form_kj_per_mol_atoms": 43, "polymorph_energy_ev_per_atom": 0.000, "spacegroup": "P4mm (99)", "vol_a3_per_atom": 16.42, "lattice": [[3.153, 0.000, 0.000], [0.000, 3.153, 0.000], [0.000, 0.000, 6.606]], "species": ["Tl", "Co", "Mo", "Mo"], "frac_coords": [[0.000, 0.000, 0.000], [0.500, 0.500, 0.270], [0.000, 0.000, 0.463], [0.500, 0.500, 0.690]]}